Entry 1:
# GaGe2S6

Crystalline GaGe2S6 at its relaxed geometry (PBE-GGA, Alexandria).

The space group is C2/c (No. 15) and the conventional cell measures 12.0574, 13.1342 and 6.1386 Å, with angles of 90.00, 113.72 and 90.00 degrees. The asymmetric unit holds Ga at (0.0000, 0.2063, 0.2500), Ge at (0.2194, 0.4230, 0.3606), S at (0.0850, 0.0978, 0.5773), S at (0.1347, 0.2878, 0.1348) and S at (0.1613, 0.4275, 0.6650).

The calculated total energy is -4.38 eV/atom. The crystal system is monoclinic. As for the total magnetic moment: 2.8 μB per cell.

Entry 2:
# Zr2InCu

Crystalline Zr2InCu at its relaxed geometry (PBE-GGA, Alexandria).

The space group is Cm (No. 8) and the conventional cell measures 11.0658, 3.2353 and 5.0308 Å, with angles of 90.00, 116.74 and 90.00 degrees. The asymmetric unit holds Zr at (0.0000, 0.0000, 0.0000), Zr at (0.2330, 0.0000, 0.7394), In at (0.2821, 0.5000, 0.2880) and Cu at (0.0012, 0.5000, 0.4985).

The crystal system is monoclinic. As for the formation energy: -0.155 eV per atom. As for the total magnetic moment: 0.0 μB per cell.

Entry 3:
# Li2Pr4O

Crystalline Li2Pr4O at its relaxed geometry (PBE-GGA, Alexandria).

The space group is I4/mmm (No. 139) and the conventional cell measures 5.0210, 5.0210 and 15.0365 Å, with angles of 90.00, 90.00 and 90.00 degrees. The asymmetric unit holds Li at (0.0000, 0.0000, 0.1259), Pr at (0.0000, 0.0000, 0.3262), Pr at (0.0000, 0.5000, 0.0000) and O at (0.0000, 0.0000, 0.5000).

The calculated total energy is -4.58 eV/atom. The crystal system is tetragonal. As for the total magnetic moment: 0.0 μB per cell.

Entry 4:
# Pa3Cu2Ge6

Crystalline Pa3Cu2Ge6 at its relaxed geometry (PBE-GGA, Alexandria).

The space group is I4/mmm (No. 139) and the conventional cell measures 4.1242, 4.1242 and 26.5707 Å, with angles of 90.00, 90.00 and 90.00 degrees. The asymmetric unit holds Pa at (0.0000, 0.0000, 0.0000), Pa at (0.0000, 0.0000, 0.1716), Cu at (0.0000, 0.0000, 0.3661), Ge at (0.0000, 0.0000, 0.2788) and Ge at (0.0000, 0.5000, 0.0812).

The crystal system is tetragonal. As for the formation energy: -0.221 eV per atom. As for the total magnetic moment: 0.0 μB per cell.

Entry 5:
# ZrTeAs3

Crystalline ZrTeAs3 at its relaxed geometry (PBE-GGA, Alexandria).

The space group is Pm-3m (No. 221) and the conventional cell measures 5.1557, 5.1557 and 5.1557 Å, with angles of 90.00, 90.00 and 90.00 degrees. The asymmetric unit holds Zr at (0.0000, 0.0000, 0.0000), Te at (0.5000, 0.5000, 0.5000) and As at (0.0000, 0.5000, 0.5000).

As for the energy above the most stable polymorph in this dataset: 0.6134 eV/atom. The crystal system is cubic. As for the total magnetic moment: 0.0 μB per cell.

Entry 6:
# IrOsRu2

Crystalline IrOsRu2 at its relaxed geometry (PBE-GGA, Alexandria).

The space group is Pmmm (No. 47) and the conventional cell measures 2.7119, 3.8470 and 5.4294 Å, with angles of 90.00, 90.00 and 90.00 degrees. The asymmetric unit holds Ir at (0.0000, 0.0000, 0.0000), Os at (0.0000, 0.0000, 0.5000) and Ru at (0.5000, 0.5000, 0.2528).

As for the energy above the most stable polymorph in this dataset: 0.0416 eV/atom. The crystal system is orthorhombic. As for the formation energy: 0.035 eV per atom. As for the total magnetic moment: 0.0 μB per cell.

Entry 7:
# Na2CrMoN4

Crystalline Na2CrMoN4 at its relaxed geometry (PBE-GGA, Alexandria).

The space group is Pmn2_1 (No. 31) and the conventional cell measures 6.4788, 6.0352 and 5.8133 Å, with angles of 90.00, 90.00 and 90.00 degrees. The asymmetric unit holds Na at (0.2488, 0.2331, 0.0000), Cr at (0.0000, 0.6862, 0.9993), Mo at (0.0000, 0.3196, 0.4994), N at (0.0000, 0.5022, 0.7590), N at (0.0000, 0.5036, 0.2408) and N at (0.2413, 0.8369, 0.9984).

The calculated total energy is -7.42 eV/atom. The crystal system is orthorhombic. As for the total magnetic moment: 1.9 μB per cell.

Entry 8:
# DyAlAs

Crystalline DyAlAs at its relaxed geometry (PBE-GGA, Alexandria).

The space group is R-3m (No. 166, hexagonal axes) and the conventional cell measures 4.7109, 4.7109 and 23.4150 Å, with angles of 90.00, 90.00 and 120.00 degrees. The asymmetric unit holds Dy at (0.0000, 0.0000, 0.0881), Al at (0.0000, 0.0000, 0.3231) and As at (0.0000, 0.0000, 0.2163).

The crystal system is trigonal. As for the formation energy: -0.682 eV per atom. As for the total magnetic moment: 0.0 μB per cell.